[1]
A plane-wave DFT calculation with PBE was carried out for a relaxed structure of AgBPd2Rh.

```
AgBPd2Rh
1.0
4.2062 0.0000 0.0000
0.0000 4.2062 0.0000
0.0000 0.0000 4.1115
Ag B Pd Rh
1 1 2 1
Direct
0.0000 0.0000 0.0000
0.5000 0.5000 0.5000
0.0000 0.5000 0.5000
0.5000 0.0000 0.5000
0.5000 0.5000 0.0000
```

Calculated values
DFT formation energy	-0.056	eV/atom
DOS at the Fermi energy	6.17	states/eV per cell
calculated total energy	-5.5096	eV per atom

=====

[2]
A plane-wave DFT calculation with PBE was carried out for a relaxed structure of AgSnBPd2.

```
AgSnBPd2
1.0
4.2447 0.0000 0.0000
0.0000 4.2447 0.0000
0.0000 0.0000 4.6248
Ag Sn B Pd
1 1 1 2
Direct
0.0000 0.0000 0.0000
0.5000 0.5000 0.0000
0.5000 0.5000 0.5000
0.0000 0.5000 0.5000
0.5000 0.0000 0.5000
```

Calculated values
DFT formation energy	0.111	eV/atom
DOS at the Fermi energy	1.85	states/eV per cell
calculated total energy	-4.6729	eV per atom

=====

[3]
A plane-wave DFT calculation with PBE was carried out for a relaxed structure of Ag2SnBPd.

```
Ag2SnBPd
1.0
5.1829 0.0000 0.0000
0.0000 5.1829 0.0000
0.0000 0.0000 5.0049
Ag Sn B Pd
2 1 1 1
Direct
0.0000 0.5000 0.0000
0.5000 0.0000 0.0000
0.0000 0.0000 0.0000
0.5000 0.5000 0.5000
0.0000 0.0000 0.5000
```

Calculated values
DFT formation energy	1.443	eV/atom
DOS at the Fermi energy	2.55	states/eV per cell
calculated total energy	-2.8722	eV per atom